Entry 1:
This record from Alexandria via LeMat-Bulk describes an optimized crystal structure of Gd3Th. The functional is PBE-GGA.

abc: 5.0576 5.0576 5.0576
angles: 90.00 90.00 90.00
Last column: nearest neighbours and their distance in Å.
Sites, in units of the cell vectors:
Gd (0.5000, 0.5000, 0.0000)  8 Gd 3.58, 4 Th 3.58
Gd (0.0000, 0.5000, 0.5000)  8 Gd 3.58, 4 Th 3.58
Th (0.0000, 0.0000, 0.0000)  12 Gd 3.58
Gd (0.5000, 0.0000, 0.5000)  8 Gd 3.58, 4 Th 3.58

Results
- space-group type = Pm-3m
- ΔE_f (eV per atom) = 0.05


Entry 2:
This record from Alexandria via LeMat-Bulk describes an optimized crystal structure of Gd2Th. The functional is PBE-GGA.

abc: 6.4898 6.4898 6.4898
angles: 60.00 60.00 60.00
Last column: nearest neighbours and their distance in Å.
Sites, in units of the cell vectors:
Th (0.0000, 0.0000, 0.0000)  12 Gd 3.80, 4 Th 3.97
Th (0.2500, 0.2500, 0.2500)  12 Gd 3.80, 4 Th 3.97
Gd (0.6250, 0.6250, 0.1250)  6 Gd 3.24
Gd (0.6250, 0.6250, 0.6250)  6 Gd 3.24
Gd (0.6250, 0.1250, 0.6250)  6 Gd 3.24
Gd (0.1250, 0.6250, 0.6250)  6 Gd 3.24

Results
- space-group type = Fd-3m
- ΔE_f (eV per atom) = 0.31